Entry P
Entry from Alexandria via LeMat-Bulk: an optimized crystal structure of MgIn2As (PBEsol).

a = 3.863 Å, b = 3.863 Å, c = 6.034 Å
α = 90.00°, β = 90.00°, γ = 90.00°
Fractional coordinates of all 4 atoms:
Mg 0.000 0.000 0.000
In 0.500 0.500 0.259
In 0.500 0.500 0.741
As 0.000 0.000 0.500

Properties
* space group: No. 123
* total magnetization: 0.00 μB/f.u.

***

Entry Q
Entry from Alexandria via LeMat-Bulk: an optimized crystal structure of MgIn2As (PBEsol).

a = 3.381 Å, b = 3.381 Å, c = 7.907 Å
α = 90.00°, β = 90.00°, γ = 90.00°
Fractional coordinates of all 4 atoms:
Mg 0.000 0.000 0.000
In 0.000 0.000 0.435
In 0.500 0.500 0.730
As 0.500 0.500 0.186

Properties
* space group: No. 99
* total magnetization: 0.00 μB/f.u.

***

Entry R
Entry from Alexandria via LeMat-Bulk: an optimized crystal structure of MgIn2As (PBEsol).

a = 4.943 Å, b = 4.943 Å, c = 5.828 Å
α = 108.60°, β = 108.60°, γ = 45.83°
Fractional coordinates of all 4 atoms:
Mg 0.000 0.000 0.000
In 0.155 0.155 0.577
In 0.384 0.384 0.346
As 0.696 0.696 0.945

Properties
* space group: No. 8
* total magnetization: 0.00 μB/f.u.

***

Top of the stability list: entry R, leading by 58 meV per atom.